1.
# Ce4Sb2Br3

A relaxed Ce4Sb2Br3 crystal (PBE, Alexandria).

Values from the calculation:
- Fermi-level density of states: 3.0389 states/eV/atom
- Volume: 597.3 Å³/cell
- Uncorrected formation energy: -1280 meV per atom

Cell lengths 7.676, 4.432, 17.559 Å; angles 90.00, 90.06, 90.00 degrees
Space group C2/m (No. 12)
One atom of each set of equivalent atoms:
Ce 0.001 0.000 0.300 x4
Ce 0.166 0.500 0.907 x4
Sb 0.167 0.500 0.197 x4
Br 0.000 0.000 0.000 x2
Br 0.166 0.500 0.602 x4



2.
# MnCrTcPd

A relaxed MnCrTcPd crystal (PBE, Alexandria).

Values from the calculation:
- Fermi-level density of states: 1.0128 states/eV/atom
- Volume: 54.7 Å³/cell
- DFT formation energy: 0.101 eV per atom

Cell lengths 4.395, 2.830, 4.438 Å; angles 90.00, 98.07, 90.00 degrees
Space group Pm (No. 6)
One atom of each set of equivalent atoms:
Mn 0.000 0.000 0.000 x1
Cr 0.410 0.000 0.408 x1
Tc 0.923 0.500 0.490 x1
Pd 0.490 0.500 0.919 x1